1.
# CoSb2Pb SCAN PBEsol geometry
# Uncorrected formation energy: 194.1 meV per atom
# Electronic total energy: -41.708 eV per atom
# Symmetry: No. 123
data_CoSb2Pb
_chemical_formula_sum 'Co1 Sb2 Pb1'
_symmetry_space_group_name_H-M 'P 1'
_symmetry_Int_Tables_number 1
_cell_length_a 3.140
_cell_length_b 3.140
_cell_length_c 9.008
_cell_angle_alpha 90.00
_cell_angle_beta 90.00
_cell_angle_gamma 90.00
loop_
_symmetry_equiv_pos_as_xyz
'x,y,z'
loop_
_atom_site_label
_atom_site_type_symbol
_atom_site_fract_x
_atom_site_fract_y
_atom_site_fract_z
Co1 Co 0.500 0.500 0.000
Pb1 Pb 0.500 0.500 0.500
Sb1 Sb 0.000 0.000 0.826
Sb2 Sb 0.000 0.000 0.174

=====

2.
# MgNi SCAN PBEsol geometry
# Energy relative to the elements: 0.07 eV per atom
# Electronic total energy: -10.504 eV per atom
# Symmetry: No. 59
data_MgNi
_chemical_formula_sum 'Mg2 Ni2'
_symmetry_space_group_name_H-M 'P 1'
_symmetry_Int_Tables_number 1
_cell_length_a 2.784
_cell_length_b 4.461
_cell_length_c 4.449
_cell_angle_alpha 90.00
_cell_angle_beta 90.00
_cell_angle_gamma 90.00
loop_
_symmetry_equiv_pos_as_xyz
'x,y,z'
loop_
_atom_site_label
_atom_site_type_symbol
_atom_site_fract_x
_atom_site_fract_y
_atom_site_fract_z
Mg1 Mg 0.000 0.385 0.000
Mg2 Mg 0.500 0.615 0.500
Ni1 Ni 0.500 0.908 0.000
Ni2 Ni 0.000 0.092 0.500

=====

3.
# Sn3PtO SCAN PBEsol geometry
# Uncorrected formation energy: 403.8 meV per atom
# Electronic total energy: -36.434 eV per atom
# Symmetry: No. 221
data_Sn3PtO
_chemical_formula_sum 'Sn3 Pt1 O1'
_symmetry_space_group_name_H-M 'P 1'
_symmetry_Int_Tables_number 1
_cell_length_a 5.106
_cell_length_b 5.106
_cell_length_c 5.106
_cell_angle_alpha 90.00
_cell_angle_beta 90.00
_cell_angle_gamma 90.00
loop_
_symmetry_equiv_pos_as_xyz
'x,y,z'
loop_
_atom_site_label
_atom_site_type_symbol
_atom_site_fract_x
_atom_site_fract_y
_atom_site_fract_z
O1 O 0.500 0.500 0.500
Sn1 Sn 0.000 0.500 0.000
Sn2 Sn 0.000 0.000 0.500
Sn3 Sn 0.500 0.000 0.000
Pt1 Pt 0.000 0.000 0.000

=====

4.
# EuMg5 SCAN PBEsol geometry
# Energy relative to the elements: -0.03 eV per atom
# Electronic total energy: -13.130 eV per atom
# Symmetry: No. 194
data_EuMg5
_chemical_formula_sum 'Eu6 Mg30'
_symmetry_space_group_name_H-M 'P 1'
_symmetry_Int_Tables_number 1
_cell_length_a 10.237
_cell_length_b 10.237
_cell_length_c 10.408
_cell_angle_alpha 90.00
_cell_angle_beta 90.00
_cell_angle_gamma 120.00
loop_
_symmetry_equiv_pos_as_xyz
'x,y,z'
loop_
_atom_site_label
_atom_site_type_symbol
_atom_site_fract_x
_atom_site_fract_y
_atom_site_fract_z
Eu1 Eu 0.190 0.810 0.250
Eu2 Eu 0.620 0.810 0.250
Eu3 Eu 0.190 0.380 0.250
Eu4 Eu 0.810 0.190 0.750
Eu5 Eu 0.380 0.190 0.750
Eu6 Eu 0.810 0.620 0.750
Mg1 Mg 0.000 0.000 0.000
Mg2 Mg 0.000 0.000 0.500
Mg3 Mg 0.333 0.667 0.009
Mg4 Mg 0.667 0.333 0.991
Mg5 Mg 0.667 0.333 0.509
Mg6 Mg 0.333 0.667 0.491
Mg7 Mg 0.500 0.500 0.000
Mg8 Mg 0.000 0.500 0.000
Mg9 Mg 0.500 0.000 0.000
Mg10 Mg 0.500 0.500 0.500
Mg11 Mg 0.000 0.500 0.500
Mg12 Mg 0.500 0.000 0.500
Mg13 Mg 0.568 0.432 0.250
Mg14 Mg 0.864 0.432 0.250
Mg15 Mg 0.568 0.136 0.250
Mg16 Mg 0.432 0.568 0.750
Mg17 Mg 0.136 0.568 0.750
Mg18 Mg 0.432 0.864 0.750
Mg19 Mg 0.838 0.162 0.089
Mg20 Mg 0.324 0.162 0.089
Mg21 Mg 0.838 0.676 0.089
Mg22 Mg 0.162 0.838 0.911
Mg23 Mg 0.676 0.838 0.911
Mg24 Mg 0.162 0.324 0.911
Mg25 Mg 0.162 0.838 0.589
Mg26 Mg 0.676 0.838 0.589
Mg27 Mg 0.162 0.324 0.589
Mg28 Mg 0.838 0.162 0.411
Mg29 Mg 0.324 0.162 0.411
Mg30 Mg 0.838 0.676 0.411

=====

5.
# GdCu2Si2 SCAN PBEsol geometry
# Uncorrected formation energy: -604.9 meV per atom
# Electronic total energy: -22.454 eV per atom
# Symmetry: No. 139
data_GdCu2Si2
_chemical_formula_sum 'Gd1 Cu2 Si2'
_symmetry_space_group_name_H-M 'P 1'
_symmetry_Int_Tables_number 1
_cell_length_a 3.953
_cell_length_b 3.953
_cell_length_c 5.665
_cell_angle_alpha 110.42
_cell_angle_beta 110.42
_cell_angle_gamma 90.00
loop_
_symmetry_equiv_pos_as_xyz
'x,y,z'
loop_
_atom_site_label
_atom_site_type_symbol
_atom_site_fract_x
_atom_site_fract_y
_atom_site_fract_z
Gd1 Gd 0.000 0.000 0.000
Cu1 Cu 0.250 0.750 0.500
Cu2 Cu 0.750 0.250 0.500
Si1 Si 0.381 0.381 0.762
Si2 Si 0.619 0.619 0.238

=====

6.
# Mo2PRu SCAN PBEsol geometry
# Energy relative to the elements: -0.13 eV per atom
# Electronic total energy: -28.881 eV per atom
# Symmetry: No. 38
data_Mo2PRu
_chemical_formula_sum 'Mo2 P1 Ru1'
_symmetry_space_group_name_H-M 'P 1'
_symmetry_Int_Tables_number 1
_cell_length_a 2.852
_cell_length_b 3.816
_cell_length_c 5.308
_cell_angle_alpha 90.00
_cell_angle_beta 105.59
_cell_angle_gamma 90.00
loop_
_symmetry_equiv_pos_as_xyz
'x,y,z'
loop_
_atom_site_label
_atom_site_type_symbol
_atom_site_fract_x
_atom_site_fract_y
_atom_site_fract_z
Mo1 Mo 0.068 0.000 0.136
Mo2 Mo 0.416 0.500 0.833
P1 P 0.822 0.000 0.644
Ru1 Ru 0.686 0.500 0.373